Entry 1:
Below is crystalline Hf4ReRu at its relaxed geometry, with properties calculated at the PBE level.

Summary:
The formation energy is -0.138 eV per atom. The magnetic moment is 0.00 μB per atom.

CIF file:
```
data_Hf4ReRu
_space_group_name_H-M_alt 'R -3 m'
_space_group_IT_number 166
_space_group_name_Hall '-R 3 2"'
_cell_length_a 4.5149
_cell_length_b 4.5149
_cell_length_c 22.1502
_cell_angle_alpha 90.00
_cell_angle_beta 90.00
_cell_angle_gamma 120.00
loop_
_atom_site_label
_atom_site_type_symbol
_atom_site_fract_x
_atom_site_fract_y
_atom_site_fract_z
Hf1 Hf 0.0000 0.0000 0.1249
Hf2 Hf 0.0000 0.0000 0.3750
Re1 Re 0.0000 0.0000 0.0000
Ru1 Ru 0.0000 0.0000 0.5000
```

---

Entry 2:
Below is crystalline Hf2ReRu at its relaxed geometry, with properties calculated at the PBE level.

Summary:
The formation energy is 0.294 eV per atom. The magnetic moment is 0.00 μB per atom.

CIF file:
```
data_Hf2ReRu
_space_group_name_H-M_alt 'I -4 2 d'
_space_group_IT_number 122
_space_group_name_Hall 'I -4 2bw'
_cell_length_a 7.214
_cell_length_b 7.214
_cell_length_c 5.715
_cell_angle_alpha 90.00
_cell_angle_beta 90.00
_cell_angle_gamma 90.00
loop_
_atom_site_label
_atom_site_type_symbol
_atom_site_fract_x
_atom_site_fract_y
_atom_site_fract_z
Hf1 Hf 0.238 0.750 0.125
Re1 Re 0.000 0.000 0.500
Ru1 Ru 0.000 0.000 0.000
```

---

Entry 3:
Below is crystalline Hf6ReRu5 at its relaxed geometry, with properties calculated at the PBE level.

Summary:
The formation energy is -0.754 eV per atom. The magnetic moment is 0.00 μB per atom.

CIF file:
```
data_Hf6ReRu5
_space_group_name_H-M_alt 'C 1 2/m 1'
_space_group_IT_number 12
_space_group_name_Hall '-C 2y'
_cell_length_a 14.517
_cell_length_b 6.495
_cell_length_c 4.597
_cell_angle_alpha 90.00
_cell_angle_beta 108.33
_cell_angle_gamma 90.00
loop_
_atom_site_label
_atom_site_type_symbol
_atom_site_fract_x
_atom_site_fract_y
_atom_site_fract_z
Hf1 Hf 0.000 0.249 0.000
Hf2 Hf 0.166 0.250 0.666
Re1 Re 0.000 0.000 0.500
Ru1 Ru 0.000 0.500 0.500
Ru2 Ru 0.167 0.500 0.167
Ru3 Ru 0.168 0.000 0.167
```

---

Entry 4:
Below is crystalline Hf2ReRu at its relaxed geometry, with properties calculated at the PBE level.

Summary:
The formation energy is -0.584 eV per atom. The magnetic moment is 0.00 μB per atom.

CIF file:
```
data_Hf2ReRu
_space_group_name_H-M_alt 'P 4/m m m'
_space_group_IT_number 123
_space_group_name_Hall '-P 4 2'
_cell_length_a 3.253
_cell_length_b 3.253
_cell_length_c 6.548
_cell_angle_alpha 90.00
_cell_angle_beta 90.00
_cell_angle_gamma 90.00
loop_
_atom_site_label
_atom_site_type_symbol
_atom_site_fract_x
_atom_site_fract_y
_atom_site_fract_z
Hf1 Hf 0.000 0.000 0.249
Re1 Re 0.500 0.500 0.500
Ru1 Ru 0.500 0.500 0.000
```

---

Question: What is the formula in the second record?
Answer: Hf2ReRu

---

What did the fourth record say?
Below is crystalline Hf2ReRu at its relaxed geometry, with properties calculated at the PBE level.

Summary:
The formation energy is -0.584 eV per atom. The magnetic moment is 0.00 μB per atom.

CIF file:
```
data_Hf2ReRu
_space_group_name_H-M_alt 'P 4/m m m'
_space_group_IT_number 123
_space_group_name_Hall '-P 4 2'
_cell_length_a 3.253
_cell_length_b 3.253
_cell_length_c 6.548
_cell_angle_alpha 90.00
_cell_angle_beta 90.00
_cell_angle_gamma 90.00
loop_
_atom_site_label
_atom_site_type_symbol
_atom_site_fract_x
_atom_site_fract_y
_atom_site_fract_z
Hf1 Hf 0.000 0.000 0.249
Re1 Re 0.500 0.500 0.500
Ru1 Ru 0.500 0.500 0.000
```